# 1
An optimized crystal structure of KDyMgTe3, computed with GGA-PBE.

Cell: 9.598 4.506 10.759 Å, 90.00 108.03 90.00°
Sites, in units of the cell vectors:
Te 0.221 0.750 0.542
Te 0.463 0.750 0.161
K 0.215 0.250 0.238
Te 0.779 0.250 0.458
Dy 0.672 0.250 0.134
Mg 0.084 0.250 0.610
Te 0.104 0.250 0.870
Mg 0.916 0.750 0.390
Dy 0.328 0.750 0.866
Te 0.896 0.750 0.130
Te 0.537 0.250 0.839
K 0.785 0.750 0.762

Values from the calculation:
As for the total DFT energy (no corrections): -3.979 eV per atom. Its space group is P2_1/m, No. 11.

---

# 2
An optimized crystal structure of Zn2Ge, computed with GGA-PBE.

Cell: 4.922 8.542 4.835 Å, 90.00 90.00 90.00°
Sites, in units of the cell vectors:
Zn 0.003 0.670 0.000
Zn 0.003 0.330 0.000
Zn 0.503 0.170 0.000
Ge 0.841 0.500 0.500
Zn 0.830 0.170 0.500
Zn 0.830 0.830 0.500
Zn 0.330 0.670 0.500
Zn 0.503 0.830 0.000
Ge 0.992 0.000 0.000
Ge 0.492 0.500 0.000
Ge 0.341 0.000 0.500
Zn 0.330 0.330 0.500

Values from the calculation:
As for the total DFT energy (no corrections): -2.208 eV per atom. Its space group is Cmcm, No. 63.

---

# 3
An optimized crystal structure of NaSmSO, computed with GGA-PBE.

Cell: 5.771 9.983 5.706 Å, 90.00 90.00 90.00°
Sites, in units of the cell vectors:
O 0.461 0.126 0.606
Na 0.089 0.074 0.496
O 0.961 0.874 0.606
Sm 0.998 0.328 0.073
Na 0.911 0.926 0.996
S 0.497 0.637 0.576
S 0.503 0.363 0.076
Na 0.589 0.926 0.496
Sm 0.002 0.672 0.573
Sm 0.502 0.328 0.573
Na 0.411 0.074 0.996
O 0.039 0.126 0.106
O 0.539 0.874 0.106
Sm 0.498 0.672 0.073
S 0.997 0.363 0.576
S 0.003 0.637 0.076

Values from the calculation:
Its space group is Pca2_1, No. 29. The value obtained for the polymorph energy (0 for the lowest one) is 0.73 eV per formula unit.

---

# 4
An optimized crystal structure of NiPd, computed with GGA-PBE.

Cell: 3.826 3.826 3.826 Å, 60.00 60.00 60.00°
Sites, in units of the cell vectors:
Pd 0.250 0.250 0.250
Ni 0.000 0.000 0.000

Values from the calculation:
The formation energy is 1.07 eV per atom. Its space group is F-43m, No. 216.

---

# 5
An optimized crystal structure of TePd9, computed with GGA-PBE.

Cell: 2.876 2.876 49.315 Å, 90.00 90.00 90.00°
Sites, in units of the cell vectors:
Te 0.000 0.500 0.139
Pd 0.500 0.000 0.407
Pd 0.000 0.500 0.668
Pd 0.000 0.500 0.820
Pd 0.000 0.500 0.219
Pd 0.000 0.500 0.519
Pd 0.500 0.000 0.631
Pd 0.000 0.500 0.444
Pd 0.500 0.000 0.332
Pd 0.000 0.500 0.743
Pd 0.500 0.000 0.556
Te 0.500 0.000 0.861
Pd 0.500 0.000 0.257
Pd 0.500 0.000 0.180
Pd 0.500 0.000 0.705
Pd 0.000 0.500 0.295
Pd 0.000 0.500 0.369
Pd 0.500 0.000 0.481
Pd 0.000 0.500 0.593
Pd 0.500 0.000 0.781

Values from the calculation:
Its space group is P4/nmm, No. 129. The value obtained for the polymorph energy (0 for the lowest one) is 0.63 eV per formula unit.

---

# 6
An optimized crystal structure of TbPuCo4, computed with GGA-PBE.

Cell: 4.915 4.915 4.915 Å, 60.00 60.00 60.00°
Sites, in units of the cell vectors:
Co 0.626 0.626 0.123
Tb 0.250 0.250 0.250
Co 0.626 0.123 0.626
Co 0.626 0.626 0.626
Pu 0.000 0.000 0.000
Co 0.123 0.626 0.626

Values from the calculation:
The formation energy is 0.09 eV per atom. Its space group is F-43m, No. 216.

---

# 7
An optimized crystal structure of NaCdSn, computed with GGA-PBE.

Cell: 4.904 4.904 4.904 Å, 60.00 60.00 60.00°
Sites, in units of the cell vectors:
Sn 0.750 0.750 0.750
Cd 0.000 0.000 0.000
Na 0.250 0.250 0.250

Values from the calculation:
Its space group is F-43m, No. 216. The value obtained for the polymorph energy (0 for the lowest one) is 0.29 eV per formula unit.

---

# 8
An optimized crystal structure of Tm3Mg3AlGaHg, computed with GGA-PBE.

Cell: 7.323 7.323 4.426 Å, 90.00 90.00 120.00°
Sites, in units of the cell vectors:
Tm 0.671 0.909 0.000
Ga 0.000 0.000 0.500
Mg 0.914 0.331 0.500
Al 0.333 0.667 0.500
Hg 0.667 0.333 0.000
Tm 0.238 0.329 0.000
Tm 0.091 0.762 0.000
Mg 0.669 0.582 0.500
Mg 0.418 0.086 0.500

Values from the calculation:
As for the total DFT energy (no corrections): -3.197 eV per atom. Its space group is P-6, No. 174.

---

# 9
An optimized crystal structure of RbPbW, computed with GGA-PBE.

Cell: 5.398 5.398 5.398 Å, 60.00 60.00 60.00°
Sites, in units of the cell vectors:
Rb 0.000 0.000 0.000
Pb 0.250 0.250 0.250
W 0.750 0.750 0.750

Values from the calculation:
Its space group is F-43m, No. 216. The value obtained for the polymorph energy (0 for the lowest one) is 1.94 eV per formula unit.

---

# 10
An optimized crystal structure of DyPaSn, computed with GGA-PBE.

Cell: 5.118 5.118 5.118 Å, 60.00 60.00 60.00°
Sites, in units of the cell vectors:
Sn 0.250 0.250 0.250
Pa 0.000 0.000 0.000
Dy 0.500 0.500 0.500

Values from the calculation:
Its space group is F-43m, No. 216. The value obtained for the polymorph energy (0 for the lowest one) is 0.00 eV per formula unit.

---

# 11
An optimized crystal structure of AlHgPt2, computed with GGA-PBE.

Cell: 4.552 4.552 4.552 Å, 60.00 60.00 60.00°
Sites, in units of the cell vectors:
Pt 0.000 0.000 0.000
Pt 0.750 0.750 0.750
Hg 0.250 0.250 0.250
Al 0.500 0.500 0.500

Values from the calculation:
As for the total DFT energy (no corrections): -4.220 eV per atom. Its space group is F-43m, No. 216.

---

# 12
An optimized crystal structure of PrSmGe2, computed with GGA-PBE.

Cell: 3.335 6.542 6.542 Å, 54.69 90.00 90.00°
Sites, in units of the cell vectors:
Sm 0.500 0.150 0.150
Pr 0.500 0.852 0.852
Ge 0.500 0.604 0.604
Ge 0.500 0.394 0.394

Values from the calculation:
As for the total DFT energy (no corrections): -4.654 eV per atom. Its space group is Amm2, No. 38.

---

| no. | calculated volume (Å³/atom) |
| --- | --- |
| 1 | 36.9 |
| 2 | 16.9 |
| 3 | 20.5 |
| 4 | 19.8 |
| 5 | 20.4 |
| 6 | 14.0 |
| 7 | 27.8 |
| 8 | 22.8 |
| 9 | 37.1 |
| 10 | 31.6 |
| 11 | 16.7 |
| 12 | 29.1 |